VASP calculation (PBE-GGA) on a relaxed Ca2Cr crystal.

Geometry as CIF:
```
data_Ca2Cr
_cell_length_a 6.850
_cell_length_b 6.850
_cell_length_c 6.850
_cell_angle_alpha 146.99
_cell_angle_beta 146.99
_cell_angle_gamma 47.38
_symmetry_space_group_name_H-M 'P 1'
_symmetry_Int_Tables_number 1
loop_
_symmetry_equiv_pos_as_xyz
'x,y,z'
loop_
_atom_site_label
_atom_site_type_symbol
_atom_site_fract_x
_atom_site_fract_y
_atom_site_fract_z
Ca1 Ca 0.144 0.144 0.000
Ca2 Ca 0.856 0.856 0.000
Cr1 Cr 0.500 0.500 0.000
```

Output
**Magnetic moment**: 1.574 μB per atom
**Calculated formation energy**: 0.463 eV/atom
**Volume**: 95.0 Å³ per cell
**DOS(E_F)**: 2.4 states/eV/cell


VASP calculation (PBE-GGA) on a relaxed Ca5Cr3 crystal.

Geometry as CIF:
```
data_Ca5Cr3
_cell_length_a 6.852
_cell_length_b 6.852
_cell_length_c 5.286
_cell_angle_alpha 90.00
_cell_angle_beta 90.00
_cell_angle_gamma 104.20
_symmetry_space_group_name_H-M 'P 1'
_symmetry_Int_Tables_number 1
loop_
_symmetry_equiv_pos_as_xyz
'x,y,z'
loop_
_atom_site_label
_atom_site_type_symbol
_atom_site_fract_x
_atom_site_fract_y
_atom_site_fract_z
Ca1 Ca 0.000 0.000 0.000
Ca2 Ca 0.000 0.500 0.000
Ca3 Ca 0.280 0.280 0.500
Ca4 Ca 0.500 0.000 0.000
Ca5 Ca 0.720 0.720 0.500
Cr1 Cr 0.234 0.766 0.500
Cr2 Cr 0.500 0.500 0.000
Cr3 Cr 0.766 0.234 0.500
```

Output
**Magnetic moment**: 1.761 μB per atom
**Calculated formation energy**: 0.561 eV/atom
**Volume**: 240.6 Å³ per cell
**DOS(E_F)**: 7.1 states/eV/cell


VASP calculation (PBE-GGA) on a relaxed CaCr crystal.

Geometry as CIF:
```
data_CaCr
_cell_length_a 3.325
_cell_length_b 3.325
_cell_length_c 9.616
_cell_angle_alpha 90.00
_cell_angle_beta 90.00
_cell_angle_gamma 120.00
_symmetry_space_group_name_H-M 'P 1'
_symmetry_Int_Tables_number 1
loop_
_symmetry_equiv_pos_as_xyz
'x,y,z'
loop_
_atom_site_label
_atom_site_type_symbol
_atom_site_fract_x
_atom_site_fract_y
_atom_site_fract_z
Ca1 Ca 0.333 0.667 0.179
Ca2 Ca 0.667 0.333 0.821
Cr1 Cr 0.333 0.667 0.565
Cr2 Cr 0.667 0.333 0.435
```

Output
**Magnetic moment**: 0.001 μB per atom
**Excess energy over the best structure of this formula in the dataset**: 0.3999 eV per atom
**Calculated formation energy**: 0.799 eV/atom
**Volume**: 92.1 Å³ per cell
**DOS(E_F)**: 6.8 states/eV/cell


VASP calculation (PBE-GGA) on a relaxed Ca2Cr crystal.

Geometry as CIF:
```
data_Ca2Cr
_cell_length_a 5.619
_cell_length_b 5.619
_cell_length_c 6.956
_cell_angle_alpha 90.00
_cell_angle_beta 90.00
_cell_angle_gamma 120.00
_symmetry_space_group_name_H-M 'P 1'
_symmetry_Int_Tables_number 1
loop_
_symmetry_equiv_pos_as_xyz
'x,y,z'
loop_
_atom_site_label
_atom_site_type_symbol
_atom_site_fract_x
_atom_site_fract_y
_atom_site_fract_z
Ca1 Ca 0.000 0.000 0.000
Ca2 Ca 0.000 0.000 0.500
Ca3 Ca 0.333 0.667 0.250
Ca4 Ca 0.667 0.333 0.750
Cr1 Cr 0.333 0.667 0.750
Cr2 Cr 0.667 0.333 0.250
```

Output
**Magnetic moment**: 1.621 μB per atom
**Calculated formation energy**: 0.495 eV/atom
**Volume**: 190.2 Å³ per cell
**DOS(E_F)**: 5.4 states/eV/cell


VASP calculation (PBE-GGA) on a relaxed CaCr crystal.

Geometry as CIF:
```
data_CaCr
_cell_length_a 7.666
_cell_length_b 7.666
_cell_length_c 7.666
_cell_angle_alpha 109.47
_cell_angle_beta 109.47
_cell_angle_gamma 109.47
_symmetry_space_group_name_H-M 'P 1'
_symmetry_Int_Tables_number 1
loop_
_symmetry_equiv_pos_as_xyz
'x,y,z'
loop_
_atom_site_label
_atom_site_type_symbol
_atom_site_fract_x
_atom_site_fract_y
_atom_site_fract_z
Ca1 Ca 0.000 0.000 0.571
Ca2 Ca 0.000 0.571 0.000
Ca3 Ca 0.429 0.429 0.429
Ca4 Ca 0.571 0.000 0.000
Cr1 Cr 0.000 0.000 0.174
Cr2 Cr 0.000 0.174 0.000
Cr3 Cr 0.174 0.000 0.000
Cr4 Cr 0.826 0.826 0.826
```

Output
**Magnetic moment**: 0.424 μB per atom
**Excess energy over the best structure of this formula in the dataset**: 0.8463 eV per atom
**Calculated formation energy**: 1.245 eV/atom
**Volume**: 346.8 Å³ per cell
**DOS(E_F)**: 11.8 states/eV/cell


VASP calculation (PBE-GGA) on a relaxed Ca2Cr crystal.

Geometry as CIF:
```
data_Ca2Cr
_cell_length_a 8.243
_cell_length_b 8.243
_cell_length_c 5.512
_cell_angle_alpha 90.00
_cell_angle_beta 90.00
_cell_angle_gamma 149.87
_symmetry_space_group_name_H-M 'P 1'
_symmetry_Int_Tables_number 1
loop_
_symmetry_equiv_pos_as_xyz
'x,y,z'
loop_
_atom_site_label
_atom_site_type_symbol
_atom_site_fract_x
_atom_site_fract_y
_atom_site_fract_z
Ca1 Ca 0.071 0.929 0.750
Ca2 Ca 0.239 0.761 0.250
Ca3 Ca 0.761 0.239 0.750
Ca4 Ca 0.929 0.071 0.250
Cr1 Cr 0.410 0.590 0.750
Cr2 Cr 0.590 0.410 0.250
```

Output
**Magnetic moment**: 1.511 μB per atom
**Calculated formation energy**: 0.499 eV/atom
**Volume**: 188.0 Å³ per cell
**DOS(E_F)**: 5.2 states/eV/cell


VASP calculation (PBE-GGA) on a relaxed CaCr2 crystal.

Geometry as CIF:
```
data_CaCr2
_cell_length_a 10.772
_cell_length_b 10.772
_cell_length_c 3.904
_cell_angle_alpha 90.00
_cell_angle_beta 90.00
_cell_angle_gamma 163.57
_symmetry_space_group_name_H-M 'P 1'
_symmetry_Int_Tables_number 1
loop_
_symmetry_equiv_pos_as_xyz
'x,y,z'
loop_
_atom_site_label
_atom_site_type_symbol
_atom_site_fract_x
_atom_site_fract_y
_atom_site_fract_z
Ca1 Ca 0.174 0.826 0.750
Ca2 Ca 0.826 0.174 0.250
Cr1 Cr 0.050 0.950 0.250
Cr2 Cr 0.453 0.547 0.250
Cr3 Cr 0.547 0.453 0.750
Cr4 Cr 0.950 0.050 0.750
```

Output
**Magnetic moment**: 0.027 μB per atom
**Excess energy over the best structure of this formula in the dataset**: 0.0000 eV per atom
**Calculated formation energy**: 0.451 eV/atom
**Volume**: 128.2 Å³ per cell
**DOS(E_F)**: 4.3 states/eV/cell


VASP calculation (PBE-GGA) on a relaxed CaCr crystal.

Geometry as CIF:
```
data_CaCr
_cell_length_a 3.989
_cell_length_b 3.989
_cell_length_c 11.743
_cell_angle_alpha 90.24
_cell_angle_beta 90.24
_cell_angle_gamma 60.18
_symmetry_space_group_name_H-M 'P 1'
_symmetry_Int_Tables_number 1
loop_
_symmetry_equiv_pos_as_xyz
'x,y,z'
loop_
_atom_site_label
_atom_site_type_symbol
_atom_site_fract_x
_atom_site_fract_y
_atom_site_fract_z
Ca1 Ca 0.000 0.000 0.000
Ca2 Ca 0.335 0.335 0.720
Ca3 Ca 0.665 0.665 0.280
Cr1 Cr 0.000 0.000 0.500
Cr2 Cr 0.333 0.333 0.458
Cr3 Cr 0.667 0.667 0.542
```

Output
**Magnetic moment**: 0.154 μB per atom
**Excess energy over the best structure of this formula in the dataset**: 0.0000 eV per atom
**Calculated formation energy**: 0.399 eV/atom
**Volume**: 162.1 Å³ per cell
**DOS(E_F)**: 7.4 states/eV/cell


VASP calculation (PBE-GGA) on a relaxed CaCr crystal.

Geometry as CIF:
```
data_CaCr
_cell_length_a 4.397
_cell_length_b 4.397
_cell_length_c 4.397
_cell_angle_alpha 60.00
_cell_angle_beta 60.00
_cell_angle_gamma 60.00
_symmetry_space_group_name_H-M 'P 1'
_symmetry_Int_Tables_number 1
loop_
_symmetry_equiv_pos_as_xyz
'x,y,z'
loop_
_atom_site_label
_atom_site_type_symbol
_atom_site_fract_x
_atom_site_fract_y
_atom_site_fract_z
Ca1 Ca 0.000 0.000 0.000
Cr1 Cr 0.500 0.500 0.500
```

Output
**Magnetic moment**: 2.211 μB per atom
**Excess energy over the best structure of this formula in the dataset**: 0.6636 eV per atom
**Calculated formation energy**: 1.063 eV/atom
**Volume**: 60.1 Å³ per cell
**DOS(E_F)**: 2.3 states/eV/cell


VASP calculation (PBE-GGA) on a relaxed CaCr2 crystal.

Geometry as CIF:
```
data_CaCr2
_cell_length_a 4.525
_cell_length_b 4.525
_cell_length_c 2.714
_cell_angle_alpha 90.00
_cell_angle_beta 90.00
_cell_angle_gamma 120.00
_symmetry_space_group_name_H-M 'P 1'
_symmetry_Int_Tables_number 1
loop_
_symmetry_equiv_pos_as_xyz
'x,y,z'
loop_
_atom_site_label
_atom_site_type_symbol
_atom_site_fract_x
_atom_site_fract_y
_atom_site_fract_z
Ca1 Ca 0.000 0.000 0.000
Cr1 Cr 0.333 0.667 0.610
Cr2 Cr 0.667 0.333 0.390
```

Output
**Magnetic moment**: 0.000 μB per atom
**Excess energy over the best structure of this formula in the dataset**: 0.6525 eV per atom
**Calculated formation energy**: 1.104 eV/atom
**Volume**: 48.1 Å³ per cell
**DOS(E_F)**: 4.2 states/eV/cell


VASP calculation (PBE-GGA) on a relaxed Ca2Cr crystal.

Geometry as CIF:
```
data_Ca2Cr
_cell_length_a 5.466
_cell_length_b 5.466
_cell_length_c 3.636
_cell_angle_alpha 90.00
_cell_angle_beta 90.00
_cell_angle_gamma 120.00
_symmetry_space_group_name_H-M 'P 1'
_symmetry_Int_Tables_number 1
loop_
_symmetry_equiv_pos_as_xyz
'x,y,z'
loop_
_atom_site_label
_atom_site_type_symbol
_atom_site_fract_x
_atom_site_fract_y
_atom_site_fract_z
Ca1 Ca 0.333 0.667 0.207
Ca2 Ca 0.667 0.333 0.793
Cr1 Cr 0.000 0.000 0.500
```

Output
**Magnetic moment**: 1.488 μB per atom
**Calculated formation energy**: 0.557 eV/atom
**Volume**: 94.1 Å³ per cell
**DOS(E_F)**: 2.9 states/eV/cell


VASP calculation (PBE-GGA) on a relaxed CaCr crystal.

Geometry as CIF:
```
data_CaCr
_cell_length_a 7.780
_cell_length_b 7.780
_cell_length_c 7.780
_cell_angle_alpha 152.84
_cell_angle_beta 56.65
_cell_angle_gamma 131.30
_symmetry_space_group_name_H-M 'P 1'
_symmetry_Int_Tables_number 1
loop_
_symmetry_equiv_pos_as_xyz
'x,y,z'
loop_
_atom_site_label
_atom_site_type_symbol
_atom_site_fract_x
_atom_site_fract_y
_atom_site_fract_z
Ca1 Ca 0.000 0.000 0.000
Ca2 Ca 0.026 0.738 0.288
Ca3 Ca 0.450 0.738 0.712
Cr1 Cr 0.511 0.511 0.000
Cr2 Cr 0.556 0.157 0.399
Cr3 Cr 0.758 0.157 0.601
```

Output
**Magnetic moment**: 0.666 μB per atom
**Excess energy over the best structure of this formula in the dataset**: 0.1561 eV per atom
**Calculated formation energy**: 0.555 eV/atom
**Volume**: 160.5 Å³ per cell
**DOS(E_F)**: 5.2 states/eV/cell